This record from Alexandria via LeMat-Bulk describes an optimized crystal structure of KBaSiP2. The functional is PBE.

Cell: 5.2554 7.0582 8.9983 Å, 107.91 90.00 90.00°
Closest atoms and distances in Å follow each position.
Positions (direct):
P1 0.7842 0.2645 0.5337  1 Si 2.12
P2 0.2158 0.2645 0.0337  1 Si 2.12
Si1 0.0000 0.0000 0.0000  2 P 2.12
Si2 0.0000 0.0000 0.5000  2 P 2.12
P3 0.2158 0.7355 0.4663  1 Si 2.12
K1 0.4486 0.0000 0.2500  4 P 3.19-3.32, 2 Si 3.26
P4 0.7842 0.7355 0.9663  1 Si 2.12
K2 0.5514 0.0000 0.7500  4 P 3.19-3.32, 2 Si 3.26
Ba1 0.7607 0.5000 0.2500  6 P 3.21-3.57
Ba2 0.2393 0.5000 0.7500  6 P 3.21-3.57

Values from the calculation:
Uncorrected formation energy = -6.59 kcal/mol of atoms
SG = No. 13
Crystal system = monoclinic

=====

This record from Alexandria via LeMat-Bulk describes an optimized crystal structure of Nd2ZnSn4Ir3. The functional is PBE.

Cell: 4.4922 4.4922 11.0400 Å, 90.00 90.00 90.00°
Closest atoms and distances in Å follow each position.
Positions (direct):
Ir1 0.0000 0.0000 0.5000  4 Sn 2.70
Zn1 0.5000 0.5000 0.5000  4 Sn 2.70
Nd1 0.5000 0.0000 0.2454  6 Ir 3.42-3.60, 8 Sn 3.44-3.52, 2 Zn 3.60
Sn1 0.0000 0.5000 0.3650  3 Ir 2.59-2.70, 2 Zn 2.70
Sn2 0.5000 0.5000 0.0000  4 Ir 2.67
Sn3 0.5000 0.0000 0.6350  3 Ir 2.59-2.70, 2 Zn 2.70
Ir2 0.0000 0.5000 0.1304  5 Sn 2.59-2.67
Nd2 0.0000 0.5000 0.7546  6 Ir 3.42-3.60, 8 Sn 3.44-3.52, 2 Zn 3.60
Sn4 0.0000 0.0000 0.0000  4 Ir 2.67
Ir3 0.5000 0.0000 0.8696  5 Sn 2.59-2.67

Values from the calculation:
SG = No. 115
Crystal system = tetragonal
ΔH_f (0 K) = -0.50 eV per atom

=====

This record from Alexandria via LeMat-Bulk describes an optimized crystal structure of TbCuBr6. The functional is PBE.

Cell: 8.6441 9.3917 7.1482 Å, 58.39 58.52 37.08°
Closest atoms and distances in Å follow each position.
Positions (direct):
Br1 0.2574 0.9234 0.1433  1 Cu 2.36
Br2 0.7426 0.0766 0.8567  1 Cu 2.36
Br3 0.3785 0.7767 0.7149  1 Cu 2.41
Cu1 0.0000 0.0000 0.0000  4 Br 2.36-2.41
Tb1 0.5000 0.5000 0.5000  6 Br 2.72-2.89
Br4 0.8824 0.4779 0.3276  1 Tb 2.72
Br5 0.1176 0.5221 0.6724  1 Tb 2.72
Br6 0.6215 0.2233 0.2851  1 Cu 2.41

Values from the calculation:
Uncorrected formation energy = -21.21 kcal/mol of atoms
SG = No. 2
Crystal system = triclinic

=====

This record from Alexandria via LeMat-Bulk describes an optimized crystal structure of RbTl2Te. The functional is PBE.

Cell: 5.4243 5.1558 5.1558 Å, 90.00 90.00 90.00°
Closest atoms and distances in Å follow each position.
Positions (direct):
Te1 0.5000 0.5000 0.5000  4 Rb 3.65, 8 Tl 3.74
Tl1 0.0000 0.5000 0.0000  4 Tl 3.65, 4 Te 3.74, 4 Rb 3.74
Tl2 0.0000 0.0000 0.5000  4 Tl 3.65, 4 Te 3.74, 4 Rb 3.74
Rb1 0.5000 0.0000 0.0000  4 Te 3.65, 8 Tl 3.74

Values from the calculation:
Uncorrected formation energy = -8.54 kcal/mol of atoms
Relative energy among the computed polymorphs = 0 meV/atom
SG = No. 123
Crystal system = tetragonal

=====

Number 1: total moment 0.00 μB/f.u.. Number 2: total moment 0.00 μB/f.u.. Number 3: total moment 0.00 μB/f.u.. Number 4: total moment 0.00 μB/f.u..